HoPaS6: relaxed, PBE.

```
8
Lattice="7.452 0.000 0.000 3.726 6.454 0.000 3.726 2.151 6.085" Properties=species:S:1:pos:R:3 pbc="T T T"
S 5.622 3.246 4.537
S 7.452 6.416 4.537
Pa 7.452 4.303 3.042
Ho 0.000 0.000 0.000
S 5.622 5.360 1.548
S 9.283 3.246 4.537
S 9.283 5.360 1.548
S 7.452 2.189 1.548
```

N(E_F): 0.907 states/eV per atom
formation energy from raw total energies: -0.69 eV per atom
symmetry: Fm-3m (225)